DFT (GGA-PBE) results for Tb2InSn4 after structural relaxation.

Cell and atoms, written as extended XYZ:
```
7
Lattice="-2.2569 -3.1303 -2.1716 3.6333 -2.5277 -0.1323 -2.5749 -4.1546 8.6648" Properties=species:S:1:pos:R:3 pbc="T T T"
Sn -1.6379 -2.3872 0.6286
Sn -0.5992 -4.9063 3.1805
Sn -0.2488 -4.5964 6.8843
Sn -1.2875 -2.0773 4.3324
Tb 1.1695 -2.3081 2.1117
Tb -3.0561 -4.6755 5.4012
In 0.6882 -2.8290 -1.1519
```

Computed properties:
Energy above the most stable polymorph in this dataset ... 23.4 meV per atom
Formation energy ... -394.8 meV per atom
M_tot ... 0.000 μB per formula unit